A geometry-optimized BaEuGe2 structure. Source: the Alexandria database, functional PBE-GGA.

Output
formation energy from the elements: -0.33 eV/atom
calculated volume: 32.5 Å³/atom
size of the total moment: 7.78 μB/f.u.
energy: -22.75 eV per cell

```
data_BaEuGe2
_chemical_formula_sum 'Ba1 Eu1 Ge2'
_symmetry_space_group_name_H-M 'P 1'
_symmetry_Int_Tables_number 1
_cell_length_a 5.028
_cell_length_b 5.028
_cell_length_c 6.606
_cell_angle_alpha 67.63
_cell_angle_beta 67.63
_cell_angle_gamma 60.00
loop_
_symmetry_equiv_pos_as_xyz
'x,y,z'
loop_
_atom_site_label
_atom_site_fract_x
_atom_site_fract_y
_atom_site_fract_z
Eu1 0.000 0.000 0.000
Ge1 0.283 0.283 0.150
Ge2 0.717 0.717 0.850
Ba1 0.500 0.500 0.500
```

A geometry-optimized BaEuGe structure. Source: the Alexandria database, functional PBE-GGA.

Output
formation energy from the elements: -0.43 eV/atom
calculated volume: 39.2 Å³/atom
size of the total moment: 7.00 μB/f.u.
energy: -18.10 eV per cell

```
data_BaEuGe
_chemical_formula_sum 'Ba1 Eu1 Ge1'
_symmetry_space_group_name_H-M 'P 1'
_symmetry_Int_Tables_number 1
_cell_length_a 5.497
_cell_length_b 5.497
_cell_length_c 5.497
_cell_angle_alpha 60.00
_cell_angle_beta 60.00
_cell_angle_gamma 60.00
loop_
_symmetry_equiv_pos_as_xyz
'x,y,z'
loop_
_atom_site_label
_atom_site_fract_x
_atom_site_fract_y
_atom_site_fract_z
Eu1 0.000 0.000 0.000
Ge1 0.250 0.250 0.250
Ba1 0.500 0.500 0.500
```

A geometry-optimized BaEuHgGe structure. Source: the Alexandria database, functional PBE-GGA.

Output
formation energy from the elements: -0.53 eV/atom
calculated volume: 31.7 Å³/atom
size of the total moment: 7.03 μB/f.u.
energy: -19.24 eV per cell

```
data_BaEuHgGe
_chemical_formula_sum 'Ba1 Eu1 Hg1 Ge1'
_symmetry_space_group_name_H-M 'P 1'
_symmetry_Int_Tables_number 1
_cell_length_a 5.639
_cell_length_b 5.639
_cell_length_c 5.639
_cell_angle_alpha 60.00
_cell_angle_beta 60.00
_cell_angle_gamma 60.00
loop_
_symmetry_equiv_pos_as_xyz
'x,y,z'
loop_
_atom_site_label
_atom_site_fract_x
_atom_site_fract_y
_atom_site_fract_z
Eu1 0.000 0.000 0.000
Ge1 0.250 0.250 0.250
Hg1 0.750 0.750 0.750
Ba1 0.500 0.500 0.500
```

A geometry-optimized BaEuInGe structure. Source: the Alexandria database, functional PBE-GGA.

Output
formation energy from the elements: -0.38 eV/atom
calculated volume: 32.4 Å³/atom
size of the total moment: 7.27 μB/f.u.
energy: -21.07 eV per cell

```
data_BaEuInGe
_chemical_formula_sum 'Ba1 Eu1 In1 Ge1'
_symmetry_space_group_name_H-M 'P 1'
_symmetry_Int_Tables_number 1
_cell_length_a 5.681
_cell_length_b 5.681
_cell_length_c 5.681
_cell_angle_alpha 60.00
_cell_angle_beta 60.00
_cell_angle_gamma 60.00
loop_
_symmetry_equiv_pos_as_xyz
'x,y,z'
loop_
_atom_site_label
_atom_site_fract_x
_atom_site_fract_y
_atom_site_fract_z
Eu1 0.000 0.000 0.000
Ge1 0.750 0.750 0.750
Ba1 0.500 0.500 0.500
In1 0.250 0.250 0.250
```

A geometry-optimized BaLiEuGe structure. Source: the Alexandria database, functional PBE-GGA.

Output
formation energy from the elements: -0.28 eV/atom
calculated volume: 31.1 Å³/atom
size of the total moment: 7.13 μB/f.u.
energy: -19.85 eV per cell

```
data_BaLiEuGe
_chemical_formula_sum 'Ba1 Li1 Eu1 Ge1'
_symmetry_space_group_name_H-M 'P 1'
_symmetry_Int_Tables_number 1
_cell_length_a 5.604
_cell_length_b 5.604
_cell_length_c 5.604
_cell_angle_alpha 60.00
_cell_angle_beta 60.00
_cell_angle_gamma 60.00
loop_
_symmetry_equiv_pos_as_xyz
'x,y,z'
loop_
_atom_site_label
_atom_site_fract_x
_atom_site_fract_y
_atom_site_fract_z
Eu1 0.250 0.250 0.250
Ge1 0.000 0.000 0.000
Ba1 0.750 0.750 0.750
Li1 0.500 0.500 0.500
```

A geometry-optimized BaEuMgGe structure. Source: the Alexandria database, functional PBE-GGA.

Output
formation energy from the elements: -0.28 eV/atom
calculated volume: 32.0 Å³/atom
size of the total moment: 7.21 μB/f.u.
energy: -19.54 eV per cell

```
data_BaEuMgGe
_chemical_formula_sum 'Ba1 Eu1 Mg1 Ge1'
_symmetry_space_group_name_H-M 'P 1'
_symmetry_Int_Tables_number 1
_cell_length_a 5.658
_cell_length_b 5.658
_cell_length_c 5.658
_cell_angle_alpha 60.00
_cell_angle_beta 60.00
_cell_angle_gamma 60.00
loop_
_symmetry_equiv_pos_as_xyz
'x,y,z'
loop_
_atom_site_label
_atom_site_fract_x
_atom_site_fract_y
_atom_site_fract_z
Eu1 0.000 0.000 0.000
Ge1 0.750 0.750 0.750
Mg1 0.250 0.250 0.250
Ba1 0.500 0.500 0.500
```

A geometry-optimized BaEuGe4O12 structure. Source: the Alexandria database, functional PBE-GGA.

Output
calculated volume: 12.3 Å³/atom
size of the total moment: 3.02 μB/f.u.
energy: -117.18 eV per cell
formation energy without anion corrections: -1.501 eV per atom

```
data_BaEuGe4O12
_chemical_formula_sum 'Ba1 Eu1 Ge4 O12'
_symmetry_space_group_name_H-M 'P 1'
_symmetry_Int_Tables_number 1
_cell_length_a 5.398
_cell_length_b 5.398
_cell_length_c 7.591
_cell_angle_alpha 90.00
_cell_angle_beta 90.00
_cell_angle_gamma 90.00
loop_
_symmetry_equiv_pos_as_xyz
'x,y,z'
loop_
_atom_site_label
_atom_site_fract_x
_atom_site_fract_y
_atom_site_fract_z
Ba1 0.500 0.500 0.000
Eu1 0.000 0.000 0.500
Ge1 0.000 0.500 0.751
Ge2 0.000 0.500 0.249
Ge3 0.500 0.000 0.751
Ge4 0.500 0.000 0.249
O1 0.242 0.242 0.734
O2 0.242 0.242 0.266
O3 0.758 0.758 0.266
O4 0.758 0.758 0.734
O5 0.758 0.242 0.734
O6 0.758 0.242 0.266
O7 0.242 0.758 0.266
O8 0.242 0.758 0.734
O9 0.000 0.500 0.500
O10 0.000 0.500 0.000
O11 0.500 0.000 0.500
O12 0.500 0.000 0.000
```

A geometry-optimized BaEuH2 structure. Source: the Alexandria database, functional PBE-GGA.

Output
calculated volume: 21.0 Å³/atom
size of the total moment: 8.24 μB/f.u.
energy: -20.11 eV per cell

```
data_BaEuH2
_chemical_formula_sum 'Ba1 Eu1 H2'
_symmetry_space_group_name_H-M 'P 1'
_symmetry_Int_Tables_number 1
_cell_length_a 3.888
_cell_length_b 3.888
_cell_length_c 6.787
_cell_angle_alpha 73.35
_cell_angle_beta 73.35
_cell_angle_gamma 60.00
loop_
_symmetry_equiv_pos_as_xyz
'x,y,z'
loop_
_atom_site_label
_atom_site_fract_x
_atom_site_fract_y
_atom_site_fract_z
Eu1 0.000 0.000 0.000
H1 0.734 0.734 0.797
H2 0.266 0.266 0.203
Ba1 0.500 0.500 0.500
```

Copy entry 6 word for word.
A geometry-optimized BaEuMgGe structure. Source: the Alexandria database, functional PBE-GGA.

Output
formation energy from the elements: -0.28 eV/atom
calculated volume: 32.0 Å³/atom
size of the total moment: 7.21 μB/f.u.
energy: -19.54 eV per cell

```
data_BaEuMgGe
_chemical_formula_sum 'Ba1 Eu1 Mg1 Ge1'
_symmetry_space_group_name_H-M 'P 1'
_symmetry_Int_Tables_number 1
_cell_length_a 5.658
_cell_length_b 5.658
_cell_length_c 5.658
_cell_angle_alpha 60.00
_cell_angle_beta 60.00
_cell_angle_gamma 60.00
loop_
_symmetry_equiv_pos_as_xyz
'x,y,z'
loop_
_atom_site_label
_atom_site_fract_x
_atom_site_fract_y
_atom_site_fract_z
Eu1 0.000 0.000 0.000
Ge1 0.750 0.750 0.750
Mg1 0.250 0.250 0.250
Ba1 0.500 0.500 0.500
```

Number 4 is which compound? BaEuInGe

Which of these has the highest calculated volume? BaEuGe